Version A
GGA-PBE CeTi2V, optimized geometry; magnetic moment = 0.00 μB/cell; space-group type = No. 166
1.0
1.4476 0.8358 9.9580
-1.4476 0.8358 9.9580
0.0000 -1.6715 9.9580
Ce Ti V
1 2 1
direct
0.0000 0.0000 0.0000 Ce
0.0955 0.0955 0.0955 Ti
0.9045 0.9045 0.9045 Ti
0.5000 0.5000 0.5000 V

***

Version B
GGA-PBE CeTi2V, optimized geometry; magnetic moment = 0.20 μB/cell; space-group type = No. 123
1.0
3.1145 0.0000 0.0000
0.0000 3.1145 0.0000
0.0000 0.0000 7.7736
Ce Ti V
1 2 1
direct
0.0000 0.0000 0.0000 Ce
0.5000 0.5000 0.3080 Ti
0.5000 0.5000 0.6920 Ti
0.0000 0.0000 0.5000 V

***

Energies relative to the most stable structure are version A 6.6; version B 0.0, reported in kJ/mol of atoms.